# 1
{"formula": "Sc2IO", "functional": "PBE-GGA", "state": "optimized geometry", "cell": [[5.786, 0.000, 0.000], [0.000, 5.786, 0.000], [2.893, 2.893, 5.372]], "species": ["I", "I", "Sc", "Sc", "Sc", "Sc", "O", "O"], "frac_coords": [[0.000, 0.000, 0.000], [0.750, 0.250, 0.500], [0.503, 0.125, 0.250], [0.247, 0.625, 0.250], [0.375, 0.497, 0.750], [0.875, 0.753, 0.750], [0.500, 0.500, 0.000], [0.250, 0.750, 0.500]], "de_polymorph_kj_per_mol_atoms": 0.0, "total_energy_ev_per_cell": -50.5, "e_form_raw_ev_per_atom": -1.516, "magmom_total_mub_per_fu": 0.000}

# 2
{"formula": "Sc2IO", "functional": "PBE-GGA", "state": "optimized geometry", "cell": [[3.662, -2.781, -0.803], [2.839, -1.192, 3.508], [0.003, -4.380, 1.614]], "species": ["I", "Sc", "Sc", "O"], "frac_coords": [[0.500, 0.500, 0.500], [0.250, 0.250, 0.250], [0.750, 0.750, 0.750], [0.000, 0.000, 0.000]], "de_polymorph_kj_per_mol_atoms": 78.6, "total_energy_ev_per_cell": -22.0, "e_form_raw_ev_per_atom": -0.701, "magmom_total_mub_per_fu": 0.000}

# 3
{"formula": "Sc2IO2", "functional": "PBE-GGA", "state": "optimized geometry", "cell": [[3.839, 0.000, 0.000], [0.000, 3.839, 0.000], [1.919, 1.919, 5.727]], "species": ["I", "Sc", "Sc", "O", "O"], "frac_coords": [[0.000, 0.000, 0.000], [0.330, 0.330, 0.340], [0.670, 0.670, 0.660], [0.750, 0.250, 0.500], [0.250, 0.750, 0.500]], "total_energy_ev_per_cell": -37.0, "e_form_raw_ev_per_atom": -2.573, "magmom_total_mub_per_fu": 0.000}

# 4
{"formula": "ScIO4", "functional": "PBE-GGA", "state": "optimized geometry", "cell": [[-4.479, -1.800, 0.585], [0.529, -2.700, -4.253], [5.266, -10.687, 7.438]], "species": ["Sc", "Sc", "Sc", "Sc", "I", "I", "I", "I", "O", "O", "O", "O", "O", "O", "O", "O", "O", "O", "O", "O", "O", "O", "O", "O"], "frac_coords": [[0.998, 0.750, 0.824], [0.498, 0.250, 0.676], [0.002, 0.250, 0.176], [0.502, 0.750, 0.324], [0.499, 0.250, 0.907], [0.999, 0.750, 0.593], [0.501, 0.750, 0.093], [0.001, 0.250, 0.407], [0.760, 0.951, 0.913], [0.260, 0.049, 0.587], [0.240, 0.049, 0.087], [0.740, 0.951, 0.413], [0.237, 0.548, 0.913], [0.737, 0.452, 0.587], [0.763, 0.452, 0.087], [0.263, 0.548, 0.413], [0.702, 0.420, 0.810], [0.202, 0.580, 0.690], [0.298, 0.580, 0.190], [0.798, 0.420, 0.310], [0.295, 0.080, 0.810], [0.795, 0.920, 0.690], [0.705, 0.920, 0.190], [0.205, 0.080, 0.310]], "total_energy_ev_per_cell": -149.0, "e_form_raw_ev_per_atom": -1.589, "magmom_total_mub_per_fu": 0.000}

# 5
{"formula": "ScI2O2", "functional": "PBE-GGA", "state": "optimized geometry", "cell": [[5.885, 0.000, 0.000], [0.000, 5.885, 0.000], [0.000, 0.000, 3.797]], "species": ["I", "I", "Sc", "O", "O"], "frac_coords": [[0.000, 0.500, 0.000], [0.500, 0.000, 0.000], [0.000, 0.000, 0.000], [0.500, 0.500, 0.500], [0.000, 0.000, 0.500]], "de_polymorph_kj_per_mol_atoms": 53.8, "total_energy_ev_per_cell": -21.4, "e_form_raw_ev_per_atom": -0.420, "magmom_total_mub_per_fu": 0.000}

# 6
{"formula": "ScI2O2", "functional": "PBE-GGA", "state": "optimized geometry", "cell": [[4.876, 0.000, 0.000], [0.000, 4.876, 0.000], [0.000, 0.000, 4.036]], "species": ["I", "I", "Sc", "O", "O"], "frac_coords": [[0.000, 0.500, 0.000], [0.500, 0.000, 0.000], [0.500, 0.500, 0.500], [0.000, 0.000, 0.000], [0.000, 0.000, 0.500]], "de_polymorph_kj_per_mol_atoms": 111.8, "total_energy_ev_per_cell": -18.4, "e_form_raw_ev_per_atom": 0.181, "magmom_total_mub_per_fu": 0.002}

# 7
{"formula": "Sc3I7O", "functional": "PBE-GGA", "state": "optimized geometry", "cell": [[7.694, 0.000, 0.000], [0.000, 7.969, 0.000], [0.000, -3.985, 6.902]], "species": ["Sc", "Sc", "Sc", "I", "I", "I", "I", "I", "I", "I", "O"], "frac_coords": [[0.761, 0.477, 0.523], [0.761, 0.477, 0.954], [0.761, 0.046, 0.523], [0.004, 0.164, 0.836], [0.004, 0.164, 0.328], [0.976, 0.667, 0.333], [0.552, 0.833, 0.167], [0.552, 0.333, 0.167], [0.552, 0.833, 0.667], [0.004, 0.672, 0.836], [0.689, 0.333, 0.667]], "total_energy_ev_per_cell": -51.6, "e_form_raw_ev_per_atom": -1.525, "magmom_total_mub_per_fu": 0.000}

# 8
{"formula": "ScI3O", "functional": "PBE-GGA", "state": "optimized geometry", "cell": [[5.684, 0.000, 0.000], [0.000, 5.684, 0.000], [0.000, 0.000, 5.684]], "species": ["I", "I", "I", "Sc", "O"], "frac_coords": [[0.000, 0.500, 0.000], [0.000, 0.000, 0.500], [0.500, 0.000, 0.000], [0.000, 0.000, 0.000], [0.500, 0.500, 0.500]], "de_polymorph_kj_per_mol_atoms": 0.0, "total_energy_ev_per_cell": -16.0, "e_form_raw_ev_per_atom": -0.009, "magmom_total_mub_per_fu": 0.000}

# 9
{"formula": "Sc2I3O", "functional": "PBE-GGA", "state": "optimized geometry", "cell": [[-3.484, 1.639, 0.201], [-1.253, 0.580, 10.522], [2.849, 9.812, 6.338]], "species": ["Sc", "Sc", "Sc", "Sc", "I", "I", "I", "I", "I", "I", "O", "O"], "frac_coords": [[0.929, 0.411, 0.730], [0.071, 0.589, 0.270], [0.564, 0.340, 0.532], [0.436, 0.660, 0.468], [0.066, 0.123, 0.746], [0.934, 0.877, 0.254], [0.637, 0.673, 0.053], [0.363, 0.327, 0.947], [0.820, 0.735, 0.624], [0.180, 0.265, 0.376], [0.457, 0.447, 0.638], [0.543, 0.553, 0.362]], "total_energy_ev_per_cell": -66.6, "e_form_raw_ev_per_atom": -1.841, "magmom_total_mub_per_fu": 0.000}

# 10
{"formula": "ScSeIO2", "functional": "PBE-GGA", "state": "optimized geometry", "cell": [[-2.789, -2.870, -0.561], [1.318, -0.540, -3.782], [4.627, -4.949, 2.319]], "species": ["I", "Sc", "O", "O", "Se"], "frac_coords": [[0.000, 0.000, 0.500], [0.000, 0.000, 0.000], [0.000, 0.500, 0.000], [0.500, 0.000, 0.000], [0.500, 0.500, 0.500]], "de_polymorph_kj_per_mol_atoms": 0.0, "total_energy_ev_per_cell": -26.4, "e_form_raw_ev_per_atom": -1.020, "magmom_total_mub_per_fu": 0.000}

# 11
{"formula": "ScSeI2O", "functional": "PBE-GGA", "state": "optimized geometry", "cell": [[-1.883, -1.333, 5.451], [-2.464, -4.970, -2.067], [3.284, -1.906, 0.668]], "species": ["I", "I", "Sc", "O", "Se"], "frac_coords": [[0.000, 0.500, 0.000], [0.500, 0.000, 0.000], [0.000, 0.000, 0.000], [0.000, 0.000, 0.500], [0.500, 0.500, 0.500]], "de_polymorph_kj_per_mol_atoms": 0.0, "total_energy_ev_per_cell": -22.1, "e_form_raw_ev_per_atom": -0.841, "magmom_total_mub_per_fu": 0.000}

# 12
{"formula": "ScSeI2O", "functional": "PBE-GGA", "state": "optimized geometry", "cell": [[-0.917, -2.023, -5.401], [-2.574, -4.751, 2.216], [-3.406, 1.801, -0.096]], "species": ["I", "I", "Sc", "O", "Se"], "frac_coords": [[0.000, 0.500, 0.000], [0.500, 0.000, 0.000], [0.500, 0.500, 0.500], [0.000, 0.000, 0.500], [0.000, 0.000, 0.000]], "de_polymorph_kj_per_mol_atoms": 75.9, "total_energy_ev_per_cell": -18.1, "e_form_raw_ev_per_atom": -0.054, "magmom_total_mub_per_fu": 1.216}

# 13
{"formula": "ScSeIO2", "functional": "PBE-GGA", "state": "optimized geometry", "cell": [[-2.638, -2.913, 0.968], [2.793, -1.749, 2.348], [-1.826, 3.158, 4.525]], "species": ["I", "Sc", "O", "O", "Se"], "frac_coords": [[0.000, 0.000, 0.500], [0.500, 0.500, 0.500], [0.000, 0.500, 0.000], [0.500, 0.000, 0.000], [0.000, 0.000, 0.000]], "de_polymorph_kj_per_mol_atoms": 81.5, "total_energy_ev_per_cell": -22.2, "e_form_raw_ev_per_atom": -0.175, "magmom_total_mub_per_fu": 0.000}

# 14
{"formula": "ScSiIO2", "functional": "PBE-GGA", "state": "optimized geometry", "cell": [[-0.106, 2.706, -3.082], [-3.965, 0.722, 0.770], [1.498, 4.278, 3.705]], "species": ["I", "Sc", "Si", "O", "O"], "frac_coords": [[0.000, 0.000, 0.500], [0.000, 0.000, 0.000], [0.500, 0.500, 0.500], [0.000, 0.500, 0.000], [0.500, 0.000, 0.000]], "de_polymorph_kj_per_mol_atoms": 0.0, "total_energy_ev_per_cell": -27.8, "e_form_raw_ev_per_atom": -0.913, "magmom_total_mub_per_fu": 0.086}

# 15
{"formula": "ScSiIO2", "functional": "PBE-GGA", "state": "optimized geometry", "cell": [[-3.274, -1.574, -1.176], [1.554, -3.473, 0.322], [-1.744, -0.293, 5.247]], "species": ["I", "Sc", "Si", "O", "O"], "frac_coords": [[0.000, 0.000, 0.500], [0.500, 0.500, 0.500], [0.000, 0.000, 0.000], [0.000, 0.500, 0.000], [0.500, 0.000, 0.000]], "de_polymorph_kj_per_mol_atoms": 19.3, "total_energy_ev_per_cell": -26.8, "e_form_raw_ev_per_atom": -0.713, "magmom_total_mub_per_fu": 0.000}

# 16
{"formula": "SmSc2IO8", "functional": "PBE-GGA", "state": "optimized geometry", "cell": [[4.869, 0.021, -0.003], [0.059, 4.868, -0.006], [0.004, 0.007, 6.701]], "species": ["Sm", "Sc", "Sc", "I", "O", "O", "O", "O", "O", "O", "O", "O"], "frac_coords": [[0.000, 0.000, 0.500], [0.500, 0.500, 0.742], [0.500, 0.500, 0.258], [0.000, 0.000, 0.000], [0.191, 0.808, 0.208], [0.725, 0.726, 0.000], [0.809, 0.192, 0.208], [0.809, 0.192, 0.792], [0.275, 0.274, 0.000], [0.191, 0.808, 0.792], [0.677, 0.678, 0.500], [0.323, 0.322, 0.500]], "total_energy_ev_per_cell": -85.7, "e_form_raw_ev_per_atom": -2.261, "magmom_total_mub_per_fu": 0.000}

# 17
{"formula": "ScSnIO2", "functional": "PBE-GGA", "state": "optimized geometry", "cell": [[-0.759, -0.519, -4.162], [-1.682, -3.837, 0.786], [-5.105, 2.369, 0.636]], "species": ["I", "Sc", "Sn", "O", "O"], "frac_coords": [[0.000, 0.000, 0.500], [0.000, 0.000, 0.000], [0.500, 0.500, 0.500], [0.000, 0.500, 0.000], [0.500, 0.000, 0.000]], "de_polymorph_kj_per_mol_atoms": 0.0, "total_energy_ev_per_cell": -27.8, "e_form_raw_ev_per_atom": -1.203, "magmom_total_mub_per_fu": 0.082}

# 18
{"formula": "ScSnIO2", "functional": "PBE-GGA", "state": "optimized geometry", "cell": [[-0.124, 1.125, 3.969], [0.070, -3.970, 1.127], [6.314, 0.154, 0.154]], "species": ["I", "Sc", "Sn", "O", "O"], "frac_coords": [[0.000, 0.000, 0.500], [0.500, 0.500, 0.500], [0.000, 0.000, 0.000], [0.000, 0.500, 0.000], [0.500, 0.000, 0.000]], "de_polymorph_kj_per_mol_atoms": 62.6, "total_energy_ev_per_cell": -24.6, "e_form_raw_ev_per_atom": -0.554, "magmom_total_mub_per_fu": 0.980}

# 19
{"formula": "ScSnI2O", "functional": "PBE-GGA", "state": "optimized geometry", "cell": [[-2.172, -5.132, -2.396], [0.136, -2.613, 5.473], [-3.622, 1.219, 0.672]], "species": ["I", "I", "Sc", "Sn", "O"], "frac_coords": [[0.000, 0.500, 0.000], [0.500, 0.000, 0.000], [0.000, 0.000, 0.000], [0.500, 0.500, 0.500], [0.000, 0.000, 0.500]], "de_polymorph_kj_per_mol_atoms": 0.0, "total_energy_ev_per_cell": -24.2, "e_form_raw_ev_per_atom": -1.161, "magmom_total_mub_per_fu": 0.000}

# 20
{"formula": "ScSnI2O", "functional": "PBE-GGA", "state": "optimized geometry", "cell": [[-4.159, 1.604, -4.306], [-4.474, -2.738, 3.301], [-0.687, 3.488, 1.962]], "species": ["I", "I", "Sc", "Sn", "O"], "frac_coords": [[0.000, 0.500, 0.000], [0.500, 0.000, 0.000], [0.500, 0.500, 0.500], [0.000, 0.000, 0.000], [0.000, 0.000, 0.500]], "de_polymorph_kj_per_mol_atoms": 84.3, "total_energy_ev_per_cell": -19.8, "e_form_raw_ev_per_atom": -0.287, "magmom_total_mub_per_fu": 1.480}

# 21
{"formula": "SrSc2IO8", "functional": "PBE-GGA", "state": "optimized geometry", "cell": [[4.818, 0.015, -0.003], [0.048, 4.809, -0.005], [0.004, 0.007, 6.958]], "species": ["Sr", "Sc", "Sc", "I", "O", "O", "O", "O", "O", "O", "O", "O"], "frac_coords": [[0.000, 0.000, 0.500], [0.500, 0.500, 0.764], [0.500, 0.500, 0.236], [0.000, 0.000, 0.000], [0.188, 0.804, 0.198], [0.714, 0.723, 0.000], [0.812, 0.196, 0.198], [0.812, 0.196, 0.802], [0.286, 0.277, 0.000], [0.188, 0.804, 0.802], [0.638, 0.664, 0.500], [0.362, 0.336, 0.500]], "total_energy_ev_per_cell": -79.4, "e_form_raw_ev_per_atom": -1.991, "magmom_total_mub_per_fu": 0.977}

# 22
{"formula": "SrScIO6", "functional": "PBE-GGA", "state": "optimized geometry", "cell": [[5.406, 0.000, 0.000], [-2.703, 4.682, 0.000], [0.000, 0.000, 10.613]], "species": ["Sr", "Sr", "Sc", "Sc", "I", "I", "O", "O", "O", "O", "O", "O", "O", "O", "O", "O", "O", "O"], "frac_coords": [[0.000, 0.000, 0.000], [0.000, 0.000, 0.500], [0.333, 0.667, 0.250], [0.667, 0.333, 0.750], [0.667, 0.333, 0.250], [0.333, 0.667, 0.750], [0.639, 0.609, 0.148], [0.970, 0.361, 0.148], [0.361, 0.970, 0.648], [0.030, 0.639, 0.852], [0.391, 0.361, 0.352], [0.970, 0.609, 0.352], [0.609, 0.970, 0.852], [0.639, 0.030, 0.352], [0.030, 0.391, 0.648], [0.391, 0.030, 0.148], [0.609, 0.639, 0.648], [0.361, 0.391, 0.852]], "total_energy_ev_per_cell": -113.3, "e_form_raw_ev_per_atom": -1.927, "magmom_total_mub_per_fu": 0.000}

# 23
{"formula": "ScTaIO2", "functional": "PBE-GGA", "state": "optimized geometry", "cell": [[4.085, 0.000, 0.000], [0.000, 4.085, 0.000], [0.000, 0.000, 5.716]], "species": ["I", "Sc", "O", "O", "Ta"], "frac_coords": [[0.000, 0.000, 0.500], [0.000, 0.000, 0.000], [0.000, 0.500, 0.000], [0.500, 0.000, 0.000], [0.500, 0.500, 0.500]], "de_polymorph_kj_per_mol_atoms": 64.6, "total_energy_ev_per_cell": -32.3, "e_form_raw_ev_per_atom": -0.521, "magmom_total_mub_per_fu": 2.588}

# 24
{"formula": "ScTaIO2", "functional": "PBE-GGA", "state": "optimized geometry", "cell": [[3.976, 0.000, 0.000], [0.000, 3.976, 0.000], [0.000, 0.000, 6.462]], "species": ["I", "Sc", "O", "O", "Ta"], "frac_coords": [[0.000, 0.000, 0.500], [0.500, 0.500, 0.500], [0.000, 0.500, 0.000], [0.500, 0.000, 0.000], [0.000, 0.000, 0.000]], "de_polymorph_kj_per_mol_atoms": 0.0, "total_energy_ev_per_cell": -35.6, "e_form_raw_ev_per_atom": -1.190, "magmom_total_mub_per_fu": 1.041}

# 25
{"formula": "ScTaIO2", "functional": "PBE-GGA", "state": "optimized geometry", "cell": [[4.183, 0.000, 0.000], [0.000, 5.476, 0.000], [0.000, 0.000, 4.183]], "species": ["I", "Sc", "O", "O", "Ta"], "frac_coords": [[0.000, 0.000, 0.000], [0.500, 0.500, 0.500], [0.000, 0.000, 0.500], [0.500, 0.000, 0.000], [0.000, 0.500, 0.000]], "de_polymorph_kj_per_mol_atoms": 174.3, "total_energy_ev_per_cell": -26.6, "e_form_raw_ev_per_atom": 0.616, "magmom_total_mub_per_fu": 1.551}